DFT (PBE with a Hubbard U) results for a relaxed BeVCrO6 crystal.

## Properties
Symmetry ... P-31c (163)
Total DFT energy (no corrections) ... -125.286 eV/cell

Cell lengths 4.733, 4.733, 8.488 Å; angles 90.00, 90.00, 120.00 degrees
Each line ends with the local moment (μB).
Sites, in units of the cell vectors:
1 O 0.993 0.661 0.368  -0.28
2 O 0.333 0.993 0.632  -0.28
3 O 0.993 0.333 0.132  -0.28
4 O 0.339 0.333 0.368  -0.28
5 O 0.661 0.993 0.868  -0.28
6 O 0.333 0.339 0.868  -0.28
7 O 0.339 0.007 0.132  -0.28
8 O 0.667 0.007 0.368  -0.28
9 O 0.007 0.667 0.868  -0.28
10 O 0.007 0.339 0.632  -0.28
11 O 0.667 0.661 0.132  -0.28
12 O 0.661 0.667 0.632  -0.28
13 V 0.333 0.667 0.250  0.37
14 V 0.667 0.333 0.750  0.37
15 Be 0.667 0.333 0.250  0.01
16 Be 0.333 0.667 0.750  0.01
17 Cr 0.000 0.000 0.000  2.49
18 Cr 0.000 0.000 0.500  2.49